1.
! BaCe4Pd3O12, relaxed, DFT PBE; values from VASP
&SYSTEM
  ibrav = 0, nat = 20, ntyp = 4
/
ATOMIC_SPECIES
Ba 137.33 Ba.upf
Ce 140.12 Ce.upf
Pd 106.42 Pd.upf
O 16.00 O.upf
ATOMIC_POSITIONS angstrom
Ba 0.0000 0.0000 0.0000
Ce 3.6240 0.0000 0.0000
Ce 1.2080 1.7083 2.9589
Ce -1.2080 3.4167 0.0000
Ce -1.2080 -1.7083 2.9589
Pd -2.4160 1.7083 2.9589
Pd 2.4160 3.4167 0.0000
Pd 2.4160 -1.7083 2.9589
O -0.1428 5.2260 0.8966
O 2.5587 -1.8093 5.0213
O 1.6839 3.9343 3.1338
O 4.0999 4.1635 0.9438
O 4.9747 -0.0272 1.8403
O -0.7321 2.1523 1.8403
O 2.2732 1.5802 0.9438
O -2.5587 3.4439 4.0776
O 0.7321 -0.5176 2.7841
O -1.6839 -0.7468 4.9741
O 3.1480 1.2644 4.0776
O 0.1428 1.8365 4.9741
CELL_PARAMETERS angstrom
7.2479 0.0000 0.0000
-2.4160 6.8334 0.0000
-2.4160 -3.4167 5.9179
! - Magnetization: 0.0 μB/f.u.
! - Formation energy without anion corrections: -2376 meV per atom

2.
! Ba3CePd2O8, relaxed, DFT PBE; values from VASP
&SYSTEM
  ibrav = 0, nat = 14, ntyp = 4
/
ATOMIC_SPECIES
Ba 137.33 Ba.upf
Ce 140.12 Ce.upf
Pd 106.42 Pd.upf
O 16.00 O.upf
ATOMIC_POSITIONS angstrom
Ba 0.0000 3.5233 5.0219
Ba 3.0513 1.7617 2.9160
Ba 0.0000 0.0000 0.0000
Ce 0.0000 0.0000 3.9690
Pd 0.0000 3.5233 1.4800
Pd 3.0513 1.7617 6.4579
O 0.0000 3.5233 7.5194
O 3.0513 1.7617 0.4186
O -1.5157 4.3984 2.6400
O 4.5670 0.8866 5.2979
O 0.0000 1.7732 2.6400
O 3.0513 3.5118 5.2979
O 1.5157 4.3984 2.6400
O 1.5357 0.8866 5.2979
CELL_PARAMETERS angstrom
6.1026 0.0000 0.0000
-3.0513 5.2850 0.0000
0.0000 0.0000 7.9379
! - Magnetization: 5.9 μB/f.u.
! - Formation energy without anion corrections: -1771 meV per atom

3.
! BaCePdO4, relaxed, DFT PBE; values from VASP
&SYSTEM
  ibrav = 0, nat = 14, ntyp = 4
/
ATOMIC_SPECIES
Ba 137.33 Ba.upf
Ce 140.12 Ce.upf
Pd 106.42 Pd.upf
O 16.00 O.upf
ATOMIC_POSITIONS angstrom
Ba 3.2340 4.0803 0.4371
Ba 0.0000 -1.0349 5.5027
Ce 3.2340 -1.8148 2.9845
Ce 3.2340 0.0000 0.0000
Pd 1.6170 1.5227 2.9699
Pd -1.6170 1.5227 2.9699
O 3.2340 0.4450 3.8048
O -1.3230 5.4140 1.2481
O 1.3230 5.4140 1.2481
O 3.2340 1.7681 1.6289
O 0.0000 1.2772 4.3109
O 4.5569 -2.3686 4.6917
O 1.9110 -2.3686 4.6917
O 0.0000 2.6004 2.1350
CELL_PARAMETERS angstrom
6.4679 0.0000 0.0000
-3.2340 6.6749 -0.0291
0.0000 -3.6296 5.9689
! - Magnetization: 0.0 μB/f.u.
! - Formation energy without anion corrections: -2235 meV per atom

4.
! BaCePt2O8, relaxed, DFT PBE; values from VASP
&SYSTEM
  ibrav = 0, nat = 12, ntyp = 4
/
ATOMIC_SPECIES
Ba 137.33 Ba.upf
Ce 140.12 Ce.upf
Pt 195.08 Pt.upf
O 16.00 O.upf
ATOMIC_POSITIONS angstrom
Ba 0.0000 0.0000 0.0000
Ce 0.0000 0.0000 3.8440
Pt 3.0271 1.7477 1.8145
Pt 0.0000 3.4954 5.8735
O 0.0000 3.4954 0.0388
O 1.4084 0.8347 2.3166
O 4.6272 0.8022 2.3166
O 3.0271 1.7477 7.6492
O -1.6000 4.4408 5.3714
O 1.6188 4.4083 5.3714
O -0.0187 1.6370 5.3714
O 3.0459 3.6060 2.3166
CELL_PARAMETERS angstrom
6.0542 -0.0001 0.0000
-3.0270 5.2432 0.0000
0.0000 0.0000 7.6880
! - Magnetization: 0.8 μB/f.u.
! - Formation energy without anion corrections: -1093 meV per atom

5.
! Ba2CePt3O12, relaxed, DFT PBE; values from VASP
&SYSTEM
  ibrav = 0, nat = 18, ntyp = 4
/
ATOMIC_SPECIES
Ba 137.33 Ba.upf
Ce 140.12 Ce.upf
Pt 195.08 Pt.upf
O 16.00 O.upf
ATOMIC_POSITIONS angstrom
Ba 8.6786 5.0517 3.5831
Ba 5.4192 3.1544 2.2374
Ce 0.0000 0.0000 0.0000
Pt 3.5745 -0.0323 -0.0229
Pt 1.7372 3.1242 -0.0229
Pt 1.7372 1.0112 2.9561
O 6.3169 3.6770 5.1591
O 10.7540 6.2597 2.1956
O 8.9122 7.3058 5.1819
O 8.4104 2.4880 1.7647
O 10.7540 4.1416 5.1819
O 6.3169 6.0846 1.7647
O 7.7809 4.5291 0.6614
O 3.3438 1.9464 3.6249
O 5.1857 0.9003 0.6386
O 5.6874 5.7182 4.0558
O 3.3438 4.0645 0.6386
O 7.7809 2.1215 4.0558
CELL_PARAMETERS angstrom
7.1490 -0.0646 -0.0458
3.4744 6.2483 -0.0458
3.4744 2.0224 5.9122
! - Magnetization: 2.1 μB/f.u.
! - Formation energy without anion corrections: -1387 meV per atom

6.
! Ba3CePt2O8, relaxed, DFT PBE; values from VASP
&SYSTEM
  ibrav = 0, nat = 14, ntyp = 4
/
ATOMIC_SPECIES
Ba 137.33 Ba.upf
Ce 140.12 Ce.upf
Pt 195.08 Pt.upf
O 16.00 O.upf
ATOMIC_POSITIONS angstrom
Ba 0.8914 -2.3136 5.8090
Ba -1.2716 0.8213 4.2532
Ba 0.0000 0.0000 0.0000
Ce 2.1718 0.1476 3.5482
Pt -1.1078 -2.4495 2.5428
Pt 0.7275 0.9571 7.5193
O 2.2626 -2.2205 8.0493
O -2.6429 0.7281 2.0128
O 0.0542 -3.9128 3.5117
O -0.4345 2.4205 6.5505
O 0.5013 -1.2244 3.1262
O -0.8816 -0.2680 6.9359
O -1.7186 -2.0644 4.5199
O 1.3384 0.5721 5.5422
CELL_PARAMETERS angstrom
-3.7725 3.9333 2.1455
-0.9514 -5.7208 0.8202
4.3436 0.2951 7.0964
! - Magnetization: 0.0 μB/f.u.
! - Formation energy without anion corrections: -1775 meV per atom

7.
! Ba3CePt2O9, relaxed, DFT PBE; values from VASP
&SYSTEM
  ibrav = 0, nat = 15, ntyp = 4
/
ATOMIC_SPECIES
Ba 137.33 Ba.upf
Ce 140.12 Ce.upf
Pt 195.08 Pt.upf
O 16.00 O.upf
ATOMIC_POSITIONS angstrom
Ba 5.8681 -1.8410 -0.1971
Ba 0.0000 0.0000 0.0000
Ba 1.8513 -3.3766 -1.3993
Ce 2.7346 -1.6911 1.7890
Pt 2.9714 -0.0496 -2.0922
Pt 4.7480 -5.1680 0.4959
O 2.9815 -5.9940 0.0206
O 4.8703 -4.3903 -1.3504
O 3.7964 -3.5144 1.1191
O 3.9231 -1.7032 -2.7155
O 2.8491 -0.8273 -0.2460
O 4.7379 0.7764 -1.6170
O -0.8537 -2.5978 -1.1508
O 1.9788 1.6801 -1.4364
O 1.1251 -0.9177 -2.5872
CELL_PARAMETERS angstrom
-1.7073 -5.1956 -2.3016
3.9576 3.3603 -2.8728
5.4692 -3.3823 3.5781
! - Magnetization: 0.0 μB/f.u.
! - Formation energy without anion corrections: -2010 meV per atom

8.
! Ba3CePu2O9, relaxed, DFT PBE; values from VASP
&SYSTEM
  ibrav = 0, nat = 15, ntyp = 4
/
ATOMIC_SPECIES
Ba 137.33 Ba.upf
Ce 140.12 Ce.upf
Pu 244.00 Pu.upf
O 16.00 O.upf
ATOMIC_POSITIONS angstrom
Ba 0.0000 3.6192 5.1152
Ba 0.0000 0.0000 0.0000
Ba 3.1343 1.8096 2.5641
Ce 0.0000 0.0000 3.8396
Pu 0.0000 3.6192 1.2613
Pu 3.1343 1.8096 6.4180
O 4.6805 0.9169 5.1447
O 3.1343 3.5950 5.1447
O 1.5881 0.9169 5.1447
O 1.5462 4.5119 2.5345
O 0.0000 1.8338 2.5345
O -1.5462 4.5119 2.5345
O 3.1343 0.0000 0.0000
O -1.5671 2.7144 0.0000
O 1.5671 2.7144 0.0000
CELL_PARAMETERS angstrom
6.2686 0.0000 0.0000
-3.1343 5.4287 0.0000
0.0000 0.0000 7.6792
! - Magnetization: 8.1 μB/f.u.
! - Formation energy without anion corrections: -3019 meV per atom

9.
! BaCe2PuO8, relaxed, DFT PBE; values from VASP
&SYSTEM
  ibrav = 0, nat = 12, ntyp = 4
/
ATOMIC_SPECIES
Ba 137.33 Ba.upf
Ce 140.12 Ce.upf
Pu 244.00 Pu.upf
O 16.00 O.upf
ATOMIC_POSITIONS angstrom
Ba 0.9592 -1.7770 3.2138
Ce 1.2213 -5.7098 3.2804
Ce 0.3588 -4.0507 -0.0424
Pu 0.0000 0.0000 0.0000
O 2.5876 -3.4823 -0.6097
O 0.6720 -4.1692 -2.2691
O -2.3350 -3.9390 0.2549
O -1.0076 -6.2782 3.8477
O 0.9080 -5.5913 5.5070
O 3.9150 -5.8215 2.9831
O 1.4918 -5.7789 1.1408
O 0.0883 -3.9815 2.0972
CELL_PARAMETERS angstrom
-3.3635 -2.4373 -0.3436
3.0252 -3.7691 -2.8461
1.9184 -3.5541 6.4276
! - Magnetization: 2.0 μB/f.u.
! - Formation energy without anion corrections: -2938 meV per atom

10.
! Ba2CePuO5, relaxed, DFT PBE; values from VASP
&SYSTEM
  ibrav = 0, nat = 9, ntyp = 4
/
ATOMIC_SPECIES
Ba 137.33 Ba.upf
Ce 140.12 Ce.upf
Pu 244.00 Pu.upf
O 16.00 O.upf
ATOMIC_POSITIONS angstrom
Ba 1.8245 -3.0180 1.9078
Ba 5.8013 -3.3887 3.0330
Ce 4.4184 -0.4119 1.2501
Pu 0.0000 0.0000 0.0000
O 4.4396 -2.4745 0.4956
O 3.7917 -1.1408 3.2250
O 6.7335 -0.6277 1.9051
O 2.1033 -0.1961 0.5951
O -0.6055 -2.7915 1.2203
CELL_PARAMETERS angstrom
-1.2534 -1.4578 3.9497
0.0424 -4.1252 -1.5091
8.8368 -0.8237 2.5002
! - Magnetization: 6.0 μB/f.u.
! - Formation energy without anion corrections: -2688 meV per atom

11.
! Ba4CePu3O12, relaxed, DFT PBE; values from VASP
&SYSTEM
  ibrav = 0, nat = 20, ntyp = 4
/
ATOMIC_SPECIES
Ba 137.33 Ba.upf
Ce 140.12 Ce.upf
Pu 244.00 Pu.upf
O 16.00 O.upf
ATOMIC_POSITIONS angstrom
Ba 1.2783 1.8078 3.1311
Ba -1.2783 -1.8078 3.1311
Ba 3.8348 0.0000 0.0000
Ba -1.2783 3.6155 0.0000
Ce 0.0000 0.0000 0.0000
Pu 2.5566 -1.8078 3.1311
Pu 2.5566 3.6155 0.0000
Pu -2.5566 1.8078 3.1311
O -1.2783 0.9039 4.6967
O 3.8172 -2.6992 4.6751
O 1.2959 -0.9163 1.5872
O 3.8348 2.7116 1.5656
O 3.8172 5.3984 0.0000
O 1.2959 1.8327 0.0000
O 3.8348 0.0000 3.1311
O -1.2783 3.6155 3.1311
O 1.2783 -0.9039 4.6967
O -3.8172 2.6992 4.6751
O 1.2783 4.5194 1.5656
O -1.2959 0.9163 1.5872
CELL_PARAMETERS angstrom
7.6697 0.0000 0.0000
-2.5566 7.2311 0.0000
-2.5566 -3.6155 6.2623
! - Magnetization: 12.0 μB/f.u.
! - Formation energy without anion corrections: -3006 meV per atom

12.
! Rb3Ba2CeO6, relaxed, DFT PBE; values from VASP
&SYSTEM
  ibrav = 0, nat = 12, ntyp = 4
/
ATOMIC_SPECIES
Rb 85.47 Rb.upf
Ba 137.33 Ba.upf
Ce 140.12 Ce.upf
O 16.00 O.upf
ATOMIC_POSITIONS angstrom
Rb -3.3172 -4.4926 0.3685
Rb -4.2252 2.8399 -2.3250
Rb -3.7712 -0.8264 -0.9782
Ba -0.7274 -3.0274 -2.3214
Ba -1.1762 0.5971 -3.6529
Ce 0.0000 0.0000 0.0000
O -6.2608 0.2544 -2.0600
O -2.5491 -1.7412 -3.8805
O -1.2817 -1.9072 0.1035
O -5.8761 -2.8518 -0.9190
O -4.9933 0.0884 1.9241
O -1.6663 1.1990 -1.0375
CELL_PARAMETERS angstrom
-1.6245 4.2165 -4.9825
-0.2792 -6.6469 -0.9918
-5.6388 0.7776 4.0178
! - Magnetization: 1.2 μB/f.u.
! - Formation energy without anion corrections: -2153 meV per atom